#P
# PtCF2, relaxed, DFT GGA-PBE
data_PtCF2
_space_group_name_H-M_alt 'P 1'
_space_group_IT_number 1
_cell_length_a 7.581
_cell_length_b 7.581
_cell_length_c 7.581
_cell_angle_alpha 20.54
_cell_angle_beta 20.54
_cell_angle_gamma 20.54
loop_
_space_group_symop_operation_xyz
'x,y,z'
loop_
_atom_site_label
_atom_site_fract_x
_atom_site_fract_y
_atom_site_fract_z
_atom_site_occupancy
F1 0.090 0.090 0.090 1
C1 0.500 0.500 0.500 1
F2 0.910 0.910 0.910 1
Pt1 0.000 0.000 0.000 1
# Fermi-level density of states ... 0.86 states/eV/f.u.

***

#Q
# PtCF2, relaxed, DFT GGA-PBE
data_PtCF2
_space_group_name_H-M_alt 'P 1'
_space_group_IT_number 1
_cell_length_a 3.978
_cell_length_b 3.978
_cell_length_c 3.978
_cell_angle_alpha 60.00
_cell_angle_beta 60.00
_cell_angle_gamma 60.00
loop_
_space_group_symop_operation_xyz
'x,y,z'
loop_
_atom_site_label
_atom_site_fract_x
_atom_site_fract_y
_atom_site_fract_z
_atom_site_occupancy
F1 0.750 0.750 0.750 1
F2 0.250 0.250 0.250 1
Pt1 0.500 0.500 0.500 1
C1 0.000 0.000 0.000 1
# Fermi-level density of states ... 2.75 states/eV/f.u.

***

Stability comparison, relative energies in eV/atom: #P 0.000; #Q 0.577